No. 1
A plane-wave DFT calculation with PBE was carried out for a geometry-optimized Rb3YP structure.

CIF file:
```
data_Rb3YP
_symmetry_space_group_name_H-M 'P m -3 m'
_symmetry_Int_Tables_number 221
_symmetry_space_group_name_Hall '-P 4 2 3'
_cell_length_a 6.6240
_cell_length_b 6.6240
_cell_length_c 6.6240
_cell_angle_alpha 90.00
_cell_angle_beta 90.00
_cell_angle_gamma 90.00
loop_
_atom_site_label
_atom_site_fract_x
_atom_site_fract_y
_atom_site_fract_z
_atom_site_occupancy
Rb1 0.0000 0.0000 0.5000 1
Y1 0.5000 0.5000 0.5000 1
P1 0.0000 0.0000 0.0000 1
```

The calculation puts the size of the total moment at 1.0 μB/f.u. The calculation puts the formation energy at 0.58 eV per atom. The density is 2.15 g cm⁻³.

No. 2
A plane-wave DFT calculation with PBE was carried out for a geometry-optimized Rb2YP2 structure.

CIF file:
```
data_Rb2YP2
_symmetry_space_group_name_H-M 'P 4/m b m'
_symmetry_Int_Tables_number 127
_symmetry_space_group_name_Hall '-P 4 2ab'
_cell_length_a 7.2042
_cell_length_b 7.2042
_cell_length_c 5.8704
_cell_angle_alpha 90.00
_cell_angle_beta 90.00
_cell_angle_gamma 90.00
loop_
_atom_site_label
_atom_site_fract_x
_atom_site_fract_y
_atom_site_fract_z
_atom_site_occupancy
Rb1 0.1703 0.3297 0.0000 1
Y1 0.0000 0.0000 0.5000 1
P1 0.1119 0.6119 0.5000 1
```

The calculation puts the size of the total moment at 0.8 μB/f.u. The calculation puts the formation energy at -0.38 eV per atom. The density is 3.51 g cm⁻³.

No. 3
A plane-wave DFT calculation with PBE was carried out for a geometry-optimized RbY3P structure.

CIF file:
```
data_RbY3P
_symmetry_space_group_name_H-M 'P m -3 m'
_symmetry_Int_Tables_number 221
_symmetry_space_group_name_Hall '-P 4 2 3'
_cell_length_a 5.3569
_cell_length_b 5.3569
_cell_length_c 5.3569
_cell_angle_alpha 90.00
_cell_angle_beta 90.00
_cell_angle_gamma 90.00
loop_
_atom_site_label
_atom_site_fract_x
_atom_site_fract_y
_atom_site_fract_z
_atom_site_occupancy
Rb1 0.0000 0.0000 0.0000 1
Y1 0.0000 0.0000 0.5000 1
P1 0.5000 0.5000 0.5000 1
```

The calculation puts the size of the total moment at 0.0 μB/f.u. The calculation puts the formation energy at 1.55 eV per atom. The density is 4.14 g cm⁻³.

No. 4
A plane-wave DFT calculation with PBE was carried out for a geometry-optimized Rb5ZnP2 structure.

CIF file:
```
data_Rb5ZnP2
_symmetry_space_group_name_H-M 'R -3 m'
_symmetry_Int_Tables_number 166
_symmetry_space_group_name_Hall '-R 3 2"'
_cell_length_a 5.8005
_cell_length_b 5.8005
_cell_length_c 41.7517
_cell_angle_alpha 90.00
_cell_angle_beta 90.00
_cell_angle_gamma 120.00
loop_
_atom_site_label
_atom_site_fract_x
_atom_site_fract_y
_atom_site_fract_z
_atom_site_occupancy
Rb1 0.0000 0.0000 0.0000 1
Rb2 0.0000 0.0000 0.1363 1
Rb3 0.0000 0.0000 0.2477 1
Zn1 0.0000 0.0000 0.5000 1
P1 0.0000 0.0000 0.4463 1
```

The calculation puts the size of the total moment at 0.0 μB/f.u. The calculation puts the formation energy at -0.23 eV per atom. The density is 2.27 g cm⁻³.